[1]
An optimized crystal structure of NaLiTlCd, computed with PBE-GGA.

abc: 3.433 3.433 7.898
angles: 90.00 90.00 90.00
Positions (direct):
Na1 0.000 0.000 0.078
Li1 0.000 0.000 0.560
Tl1 0.500 0.500 0.784
Cd1 0.500 0.500 0.362

Properties
Total magnetization, μB per formula unit: 0.00
E, eV for the cell shown: -7.1
SG: No. 99
Energy of formation from the pure elements, meV per atom: -158

=====

[2]
An optimized crystal structure of La5Pm4Sc2, computed with PBE-GGA.

abc: 12.925 12.925 9.116
angles: 65.45 65.45 16.06
Positions (direct):
La1 0.167 0.167 0.078
La2 0.833 0.833 0.922
La3 0.128 0.128 0.707
La4 0.500 0.500 0.000
La5 0.872 0.872 0.293
Pm1 0.731 0.731 0.345
Pm2 0.015 0.015 0.300
Pm3 0.269 0.269 0.655
Pm4 0.985 0.985 0.700
Sc1 0.595 0.595 0.439
Sc2 0.405 0.405 0.561

Properties
Total magnetization, μB per formula unit: 0.00
E, eV for the cell shown: -54.7
SG: No. 12
Energy of formation from the pure elements, meV per atom: 145

=====

[3]
An optimized crystal structure of Rb3Sb2Pt4, computed with PBE-GGA.

abc: 4.552 6.849 9.546
angles: 110.21 90.00 109.41
Positions (direct):
Rb1 0.372 0.744 0.628
Rb2 0.000 0.000 0.000
Rb3 0.628 0.256 0.372
Sb1 0.321 0.643 0.226
Sb2 0.679 0.357 0.774
Pt1 0.742 0.484 0.078
Pt2 0.083 0.166 0.633
Pt3 0.917 0.834 0.367
Pt4 0.258 0.516 0.922

Properties
Total magnetization, μB per formula unit: 0.00
E, eV for the cell shown: -38.4
SG: No. 12

=====

[4]
An optimized crystal structure of SrBeSb2, computed with PBE-GGA.

abc: 5.931 5.931 5.931
angles: 135.30 135.30 65.07
Positions (direct):
Sb1 0.000 0.000 0.000
Sb2 0.250 0.750 0.500
Be1 0.750 0.250 0.500
Sr1 0.500 0.500 0.000

Properties
Total magnetization, μB per formula unit: 0.00
E, eV for the cell shown: -13.3
SG: No. 119

=====

[5]
An optimized crystal structure of La2ZrI, computed with PBE-GGA.

abc: 3.599 3.599 11.653
angles: 81.12 81.12 60.00
Positions (direct):
I1 0.500 0.500 0.500
Zr1 0.000 0.000 0.000
La1 0.090 0.090 0.731
La2 0.910 0.910 0.269

Properties
Total magnetization, μB per formula unit: 1.09
E, eV for the cell shown: -20.0
Energy above the most stable polymorph in this dataset, eV/atom: 0.000
SG: No. 166

=====

[6]
An optimized crystal structure of Sr2LiLaCo, computed with PBE-GGA.

abc: 5.995 5.995 5.123
angles: 90.00 90.00 90.00
Positions (direct):
Sr1 0.000 0.500 0.000
Sr2 0.500 0.000 0.000
Li1 0.500 0.500 0.500
Co1 0.000 0.000 0.000
La1 0.000 0.000 0.500

Properties
Total magnetization, μB per formula unit: 0.00
E, eV for the cell shown: -16.8
SG: No. 123
Energy of formation from the pure elements, meV per atom: 109

=====

[7]
An optimized crystal structure of Ca4TaPt, computed with PBE-GGA.

abc: 6.145 6.145 6.145
angles: 60.00 60.00 60.00
Positions (direct):
Ca1 0.874 0.375 0.375
Ca2 0.375 0.375 0.874
Ca3 0.375 0.874 0.375
Ca4 0.375 0.375 0.375
Ta1 0.000 0.000 0.000
Pt1 0.750 0.750 0.750

Properties
Total magnetization, μB per formula unit: 4.19
E, eV for the cell shown: -20.3
SG: No. 216
Energy of formation from the pure elements, meV per atom: 930

=====

[8]
An optimized crystal structure of PrPa2W, computed with PBE-GGA.

abc: 3.221 3.221 11.348
angles: 81.84 81.84 60.00
Positions (direct):
Pr1 0.000 0.000 0.000
Pa1 0.098 0.098 0.706
Pa2 0.902 0.902 0.294
W1 0.500 0.500 0.500

Properties
Total magnetization, μB per formula unit: 0.00
E, eV for the cell shown: -34.6
SG: No. 166
Energy of formation from the pure elements, meV per atom: 535